PBE+U Mn3PbF, relaxed; D(E_F) = 2.52 states/eV per cell; density = 6.36 Mg/m³; electronic total energy = -0.419 Ry/atom
1.0
-2.711 -3.763 0.589
3.701 -2.773 -0.683
0.899 0.070 4.587
Pb Mn F
1 3 1
Direct
0.500 0.500 0.500 Pb
0.000 0.500 0.000 Mn
0.000 0.000 0.500 Mn
0.500 0.000 0.000 Mn
0.000 0.000 0.000 F